First-principles (PBE) data for a relaxed TiPdN3 crystal, as listed in Alexandria.

a b c (Å): 3.849 3.849 3.849
angles (deg): 90.00 90.00 90.00
Sites, in units of the cell vectors:
N  0.000  0.500  0.000
N  0.000  0.000  0.500
N  0.500  0.000  0.000
Pd  0.000  0.000  0.000
Ti  0.500  0.500  0.500

Summary:
The value obtained for the total energy is -6.201 eV per atom. The total magnetization comes out at 0.00 Bohr magnetons per cell.

=====

First-principles (PBE) data for a relaxed KGe3P3 crystal, as listed in Alexandria.

a b c (Å): 7.634 7.634 8.684
angles (deg): 63.92 63.92 60.00
Sites, in units of the cell vectors:
K  0.332  0.332  0.005
K  0.668  0.668  0.995
Ge  0.447  0.794  0.629
Ge  0.794  0.130  0.629
Ge  0.130  0.447  0.629
Ge  0.870  0.553  0.371
Ge  0.206  0.870  0.371
Ge  0.553  0.206  0.371
P  0.243  0.558  0.305
P  0.894  0.243  0.305
P  0.558  0.894  0.305
P  0.442  0.106  0.695
P  0.106  0.757  0.695
P  0.757  0.442  0.695

Summary:
The value obtained for the total energy is -4.453 eV per atom. The energy of formation from the pure elements comes out at 0.001 eV/atom. The total magnetization comes out at 0.00 Bohr magnetons per cell.

=====

First-principles (PBE) data for a relaxed MoRuSe3 crystal, as listed in Alexandria.

a b c (Å): 4.908 4.908 4.908
angles (deg): 90.00 90.00 90.00
Sites, in units of the cell vectors:
Ru  0.500  0.500  0.500
Mo  0.000  0.000  0.000
Se  0.000  0.500  0.000
Se  0.000  0.000  0.500
Se  0.500  0.000  0.000

Summary:
The value obtained for the total energy is -5.192 eV per atom. The calculation puts the energy relative to the lowest polymorph listed for this composition at 0.0 meV/atom. The total magnetization comes out at 2.85 Bohr magnetons per cell.

=====

First-principles (PBE) data for a relaxed Rb2HfBeI6 crystal, as listed in Alexandria.

a b c (Å): 8.420 8.420 8.437
angles (deg): 60.07 60.07 90.00
Sites, in units of the cell vectors:
I  0.242  0.242  0.517
I  0.758  0.758  0.483
I  0.243  0.243  0.000
I  0.757  0.757  0.000
I  0.757  0.243  0.000
I  0.243  0.757  0.000
Be  0.500  0.500  0.000
Hf  0.000  0.000  0.000
Rb  0.750  0.250  0.500
Rb  0.250  0.750  0.500

Summary:
The value obtained for the total energy is -3.196 eV per atom. The total magnetization comes out at 0.00 Bohr magnetons per cell.

=====

First-principles (PBE) data for a relaxed LaDy2YAs4 crystal, as listed in Alexandria.

a b c (Å): 4.189 7.248 7.251
angles (deg): 109.43 90.00 90.00
Sites, in units of the cell vectors:
La  0.500  0.500  0.000
Dy  0.500  0.000  0.500
Dy  0.000  0.500  0.500
Y  0.000  0.000  0.000
As  0.500  0.246  0.255
As  0.500  0.754  0.745
As  0.000  0.241  0.741
As  0.000  0.759  0.259

Summary:
The value obtained for the total energy is -6.436 eV per atom. The energy of formation from the pure elements comes out at -1.537 eV/atom. The total magnetization comes out at 0.00 Bohr magnetons per cell.

=====

First-principles (PBE) data for a relaxed Cs2ZnS2 crystal, as listed in Alexandria.

a b c (Å): 6.899 8.236 10.956
angles (deg): 127.96 90.00 114.76
Sites, in units of the cell vectors:
Cs  0.668  0.335  0.539
Cs  0.332  0.665  0.461
Cs  0.098  0.197  0.816
Cs  0.902  0.803  0.184
Zn  0.376  0.753  0.842
Zn  0.624  0.247  0.158
S  0.187  0.373  0.599
S  0.813  0.627  0.401
S  0.443  0.887  0.105
S  0.557  0.113  0.895

Summary:
The value obtained for the total energy is -3.270 eV per atom. The total magnetization comes out at 0.00 Bohr magnetons per cell.